Entry from Alexandria via LeMat-Bulk: crystalline PmMg4Ag8 at its relaxed geometry (PBE).

Computed properties:
Space-group type ... I4/mmm
Uncorrected energy ... -35.99 eV per cell
M_tot ... 0.000 μB/atom
N(E_F) ... 4.84 states/eV per cell

Cell: 5.688 7.315 7.315 Å, 81.31 67.12 67.12°
Atoms (fractional coordinates):
1 Pm 0.000 0.000 0.000
2 Mg 0.000 0.000 0.500
3 Mg 0.500 0.000 0.500
4 Mg 0.000 0.500 0.000
5 Mg 0.500 0.500 0.000
6 Ag 0.000 0.346 0.654
7 Ag 0.000 0.654 0.346
8 Ag 0.346 0.654 0.654
9 Ag 0.654 0.346 0.346
10 Ag 0.500 0.784 0.216
11 Ag 0.500 0.216 0.784
12 Ag 0.284 0.216 0.216
13 Ag 0.716 0.784 0.784